DFT (PBEsol) results for ReAgB2Te after structural relaxation.

The calculation puts the density of states at the Fermi level at 3.422 states/eV/f.u.

The structure belongs to space group P4/mmm (No. 123); the cell edges are 4.322, 4.322 and 5.056 Å and the angles 90.00°, 90.00° and 90.00°. Symmetry generates all atoms from Re at (0.000, 0.000, 0.000), Ag at (0.500, 0.500, 0.000), B at (0.000, 0.500, 0.500) and Te at (0.500, 0.500, 0.500).

DFT (PBEsol) results for AgB3S after structural relaxation.

The calculation puts the density of states at the Fermi level at 0.503 states/eV/f.u.

The structure belongs to space group Pm-3m (No. 221); the cell edges are 4.150, 4.150 and 4.150 Å and the angles 90.00°, 90.00° and 90.00°. Symmetry generates all atoms from Ag at (0.000, 0.000, 0.000), B at (0.000, 0.000, 0.500) and S at (0.500, 0.500, 0.500).

DFT (PBEsol) results for AgBS2 after structural relaxation.

The calculation puts the density of states at the Fermi level at 0.000 states/eV/f.u.

The structure belongs to space group I-42d (No. 122); the cell edges are 5.384, 5.384 and 8.632 Å and the angles 90.00°, 90.00° and 90.00°. Symmetry generates all atoms from Ag at (0.000, 0.000, 0.000), B at (0.000, 0.000, 0.500) and S at (0.165, 0.750, 0.625).

DFT (PBEsol) results for AgBS2 after structural relaxation.

The calculation puts the density of states at the Fermi level at 0.677 states/eV/f.u.

The structure belongs to space group R-3m (No. 166, hexagonal axes); the cell edges are 3.1205, 3.1205 and 20.9153 Å and the angles 90.00°, 90.00° and 120.00°. Symmetry generates all atoms from Ag at (0.0000, 0.0000, 0.0000), B at (0.0000, 0.0000, 0.5000) and S at (0.0000, 0.0000, 0.1122).

DFT (PBEsol) results for AgBSeS2 after structural relaxation.

The calculation puts the density of states at the Fermi level at 3.615 states/eV/f.u.

The structure belongs to space group P4/mmm (No. 123); the cell edges are 4.116, 4.116 and 4.614 Å and the angles 90.00°, 90.00° and 90.00°. Symmetry generates all atoms from Ag at (0.000, 0.000, 0.000), B at (0.500, 0.500, 0.500), Se at (0.500, 0.500, 0.000) and S at (0.000, 0.500, 0.500).

DFT (PBEsol) results for ZnAgB2S after structural relaxation.

The calculation puts the density of states at the Fermi level at 2.242 states/eV/f.u.

The structure belongs to space group P4/mmm (No. 123); the cell edges are 3.824, 3.824 and 5.229 Å and the angles 90.00°, 90.00° and 90.00°. Symmetry generates all atoms from Zn at (0.000, 0.000, 0.000), Ag at (0.000, 0.000, 0.500), B at (0.000, 0.500, 0.000) and S at (0.500, 0.500, 0.500).

One value per record, in order, for energy: -20.7 -18.9 -81.0 -55.6 -19.7 -16.5 eV for the cell shown.
One value per record, in order, for uncorrected formation energy: 2.710 1.959 -0.288 0.144 0.650 1.366 eV per atom.